1.
VASP calculation (PBE) on a relaxed structure of CaGaP2Cl.

```
5
Lattice="5.4913 0.0000 0.0000 0.0000 5.4913 0.0000 0.0000 0.0000 5.2671" Properties=species:S:1:pos:R:3 pbc="T T T"
Ca 0.0000 0.0000 0.0000
Ga 2.7456 2.7456 2.6336
P 0.0000 2.7456 0.0000
P 2.7456 0.0000 0.0000
Cl 0.0000 0.0000 2.6336
```

Computed properties:
Distance to the lowest polymorph of the same formula = 0.569 eV per atom
Space group = P4/mmm

2.
VASP calculation (PBE) on a relaxed structure of RbCaGa2Cl8.

```
12
Lattice="3.3429 1.9300 9.5747 -3.3429 1.9300 9.5747 0.0000 -3.8600 9.5747" Properties=species:S:1:pos:R:3 pbc="T T T"
Rb 0.0000 0.0000 0.0000
Ca 0.0000 0.0000 14.3621
Ga 0.0000 0.0000 7.0812
Ga 0.0000 0.0000 21.6429
Cl -1.0931 -1.9634 12.7217
Cl -2.2469 -0.0351 16.0024
Cl 0.0000 0.0000 9.3295
Cl -1.1538 1.9283 12.7217
Cl 1.1538 -1.9283 16.0024
Cl 0.0000 0.0000 19.3947
Cl 2.2469 0.0351 12.7217
Cl 1.0931 1.9634 16.0024
```

Computed properties:
Space group = R-3

| no. | theoretical density (g/cm3) | E_tot (eV/cell) | Fermi-level density of states (states/eV per cell) |
| --- | --- | --- | --- |
| 1 | 2.17 | -16.321 | 2.8 |
| 2 | 2.46 | -41.226 | 6.4 |